Entry 1:
# BeAsPt2 | Alexandria via LeMat-Bulk | PBE | optimized geometry
data_BeAsPt2
_cell_length_a 6.553
_cell_length_b 3.795
_cell_length_c 5.339
_cell_angle_alpha 90.00
_cell_angle_beta 114.13
_cell_angle_gamma 90.00
_space_group_name_H-M_alt 'C 1 m 1'
_space_group_IT_number 8
loop_
_space_group_symop_operation_xyz
'x,y,z'
'x,-y,z'
'x+1/2,y+1/2,z'
'x+1/2,-y+1/2,z'
loop_
_atom_site_label
_atom_site_fract_x
_atom_site_fract_y
_atom_site_fract_z
Be1 0.000 0.000 0.000
As1 0.330 0.500 0.486
Pt1 0.096 0.500 0.788
Pt2 0.387 0.000 0.161
# theoretical density: 12995 kg/m3
# DFT formation energy: -373 meV/atom
# crystal system: monoclinic

---

Entry 2:
# ScPaMoRh | Alexandria via LeMat-Bulk | PBE | optimized geometry
data_ScPaMoRh
_cell_length_a 6.732
_cell_length_b 6.732
_cell_length_c 6.732
_cell_angle_alpha 90.00
_cell_angle_beta 90.00
_cell_angle_gamma 90.00
_space_group_name_H-M_alt 'F -4 3 m'
_space_group_IT_number 216
_space_group_name_Hall 'F -4 2 3'
loop_
_atom_site_label
_atom_site_fract_x
_atom_site_fract_y
_atom_site_fract_z
Sc1 0.000 0.000 0.000
Pa1 0.000 0.000 0.500
Mo1 0.250 0.250 0.750
Rh1 0.250 0.250 0.250
# theoretical density: 10337 kg/m3
# DFT formation energy: -376 meV/atom
# crystal system: cubic

---

Entry 3:
# Cu4Te2SeS | Alexandria via LeMat-Bulk | PBE | optimized geometry
data_Cu4Te2SeS
_cell_length_a 5.528
_cell_length_b 5.528
_cell_length_c 11.547
_cell_angle_alpha 90.00
_cell_angle_beta 90.00
_cell_angle_gamma 90.00
_space_group_name_H-M_alt 'I -4 2 m'
_space_group_IT_number 121
_space_group_name_Hall 'I -4 2'
loop_
_atom_site_label
_atom_site_fract_x
_atom_site_fract_y
_atom_site_fract_z
Cu1 0.240 0.240 0.107
Te1 0.000 0.500 0.250
Se1 0.000 0.000 0.500
S1 0.000 0.000 0.000
# theoretical density: 5839 kg/m3
# crystal system: tetragonal
# uncorrected formation energy: -0.1129 eV per atom

---

Entry 4:
# TcSnS2N | Alexandria via LeMat-Bulk | PBE | optimized geometry
data_TcSnS2N
_cell_length_a 4.902
_cell_length_b 4.902
_cell_length_c 3.745
_cell_angle_alpha 90.00
_cell_angle_beta 90.00
_cell_angle_gamma 90.00
_space_group_name_H-M_alt 'P 4/m m m'
_space_group_IT_number 123
_space_group_name_Hall '-P 4 2'
loop_
_atom_site_label
_atom_site_fract_x
_atom_site_fract_y
_atom_site_fract_z
Tc1 0.000 0.000 0.000
Sn1 0.500 0.500 0.500
S1 0.000 0.500 0.000
N1 0.000 0.000 0.500
# theoretical density: 5441 kg/m3
# crystal system: tetragonal
# offset from the most stable computed form: 0.0000 eV/atom
# uncorrected formation energy: 0.0686 eV per atom

---

Entry 5:
# Ac2CePt3O12 | Alexandria via LeMat-Bulk | PBE | optimized geometry
data_Ac2CePt3O12
_cell_length_a 7.1284
_cell_length_b 7.1284
_cell_length_c 16.6110
_cell_angle_alpha 90.00
_cell_angle_beta 90.00
_cell_angle_gamma 120.00
_space_group_name_H-M_alt 'R -3 m'
_space_group_IT_number 166
_space_group_name_Hall '-R 3 2"'
loop_
_atom_site_label
_atom_site_fract_x
_atom_site_fract_y
_atom_site_fract_z
Ac1 0.0000 0.0000 0.1182
Ce1 0.0000 0.0000 0.5000
Pt1 0.0000 0.5000 0.0000
O1 0.0495 0.5247 0.8808
O2 0.0604 0.5302 0.2960
# theoretical density: 9346 kg/m3
# crystal system: trigonal
# uncorrected formation energy: -1.7088 eV per atom

---

Entry 6:
# TaCoAs2C | Alexandria via LeMat-Bulk | PBE | optimized geometry
data_TaCoAs2C
_cell_length_a 4.928
_cell_length_b 4.928
_cell_length_c 4.814
_cell_angle_alpha 90.00
_cell_angle_beta 90.00
_cell_angle_gamma 90.00
_space_group_name_H-M_alt 'P 4/m m m'
_space_group_IT_number 123
_space_group_name_Hall '-P 4 2'
loop_
_atom_site_label
_atom_site_fract_x
_atom_site_fract_y
_atom_site_fract_z
Ta1 0.000 0.000 0.000
Co1 0.000 0.000 0.500
As1 0.000 0.500 0.000
C1 0.500 0.500 0.500
# theoretical density: 5706 kg/m3
# DFT formation energy: 2068 meV/atom
# crystal system: tetragonal

---

Entry 7:
# CaTa2Ge2 | Alexandria via LeMat-Bulk | PBE | optimized geometry
data_CaTa2Ge2
_cell_length_a 7.505
_cell_length_b 7.505
_cell_length_c 3.400
_cell_angle_alpha 90.00
_cell_angle_beta 90.00
_cell_angle_gamma 90.00
_space_group_name_H-M_alt 'P 4/m b m'
_space_group_IT_number 127
_space_group_name_Hall '-P 4 2ab'
loop_
_atom_site_label
_atom_site_fract_x
_atom_site_fract_y
_atom_site_fract_z
Ca1 0.000 0.000 0.000
Ta1 0.140 0.360 0.500
Ge1 0.146 0.646 0.000
# theoretical density: 9489 kg/m3
# DFT formation energy: -85 meV/atom
# crystal system: tetragonal

---

Entry 8:
# KCrAu2 | Alexandria via LeMat-Bulk | PBE | optimized geometry
data_KCrAu2
_cell_length_a 7.113
_cell_length_b 7.113
_cell_length_c 7.113
_cell_angle_alpha 90.00
_cell_angle_beta 90.00
_cell_angle_gamma 90.00
_space_group_name_H-M_alt 'F m -3 m'
_space_group_IT_number 225
_space_group_name_Hall '-F 4 2 3'
loop_
_atom_site_label
_atom_site_fract_x
_atom_site_fract_y
_atom_site_fract_z
K1 0.000 0.000 0.000
Cr1 0.000 0.000 0.500
Au1 0.250 0.250 0.250
# theoretical density: 8954 kg/m3
# DFT formation energy: 331 meV/atom
# crystal system: cubic
# offset from the most stable computed form: 0.2775 eV/atom

---

Entry 9:
# NbNiS | Alexandria via LeMat-Bulk | PBE | optimized geometry
data_NbNiS
_cell_length_a 8.687
_cell_length_b 3.137
_cell_length_c 6.794
_cell_angle_alpha 90.00
_cell_angle_beta 114.05
_cell_angle_gamma 90.00
_space_group_name_H-M_alt 'C 1 2/m 1'
_space_group_IT_number 12
loop_
_space_group_symop_operation_xyz
'x,y,z'
'-x,-y,-z'
'-x,y,-z'
'x,-y,z'
'x+1/2,y+1/2,z'
'-x+1/2,-y+1/2,-z'
'-x+1/2,y+1/2,-z'
'x+1/2,-y+1/2,z'
loop_
_atom_site_label
_atom_site_fract_x
_atom_site_fract_y
_atom_site_fract_z
Nb1 0.005 0.000 0.270
Ni1 0.160 0.500 0.072
S1 0.180 0.500 0.637
# theoretical density: 7215 kg/m3
# crystal system: monoclinic
# offset from the most stable computed form: 0.0918 eV/atom
# uncorrected formation energy: -0.4861 eV per atom

---

Entry 10:
# NaSmTm4S8 | Alexandria via LeMat-Bulk | PBE | optimized geometry
data_NaSmTm4S8
_cell_length_a 8.0045
_cell_length_b 8.0045
_cell_length_c 19.9339
_cell_angle_alpha 90.00
_cell_angle_beta 90.00
_cell_angle_gamma 120.00
_space_group_name_H-M_alt 'R 3 m'
_space_group_IT_number 160
_space_group_name_Hall 'R 3 -2"'
loop_
_atom_site_label
_atom_site_fract_x
_atom_site_fract_y
_atom_site_fract_z
Na1 0.0000 0.0000 0.0000
Sm1 0.0000 0.0000 0.6312
Tm1 0.0000 0.0000 0.2527
Tm2 0.1728 0.3455 0.4588
S1 0.0000 0.0000 0.3850
S2 0.0000 0.0000 0.8649
S3 0.0255 0.5127 0.3836
S4 0.1746 0.3492 0.2052
# theoretical density: 4979 kg/m3
# crystal system: trigonal
# uncorrected formation energy: -1.9476 eV per atom

---

Entry 11:
# Pr4HgN | Alexandria via LeMat-Bulk | PBE | optimized geometry
data_Pr4HgN
_cell_length_a 4.728
_cell_length_b 4.728
_cell_length_c 7.390
_cell_angle_alpha 90.00
_cell_angle_beta 90.00
_cell_angle_gamma 90.00
_space_group_name_H-M_alt 'P 4/m m m'
_space_group_IT_number 123
_space_group_name_Hall '-P 4 2'
loop_
_atom_site_label
_atom_site_fract_x
_atom_site_fract_y
_atom_site_fract_z
Pr1 0.000 0.500 0.211
Hg1 0.000 0.000 0.500
N1 0.500 0.500 0.000
# theoretical density: 7824 kg/m3
# crystal system: tetragonal
# offset from the most stable computed form: 0.4636 eV/atom
# uncorrected formation energy: -0.0606 eV per atom

---

Entry 12:
# Pm2ZnGa4Au3 | Alexandria via LeMat-Bulk | PBE | optimized geometry
data_Pm2ZnGa4Au3
_cell_length_a 4.307
_cell_length_b 4.307
_cell_length_c 10.941
_cell_angle_alpha 90.00
_cell_angle_beta 90.00
_cell_angle_gamma 90.00
_space_group_name_H-M_alt 'P -4 m 2'
_space_group_IT_number 115
loop_
_space_group_symop_operation_xyz
'x,y,z'
'y,-x,-z'
'-x,-y,z'
'-y,x,-z'
'-x,y,z'
'-y,-x,-z'
'x,-y,z'
'y,x,-z'
loop_
_atom_site_label
_atom_site_fract_x
_atom_site_fract_y
_atom_site_fract_z
Pm1 0.000 0.500 0.244
Zn1 0.500 0.500 0.000
Ga1 0.000 0.000 0.500
Ga2 0.000 0.500 0.866
Ga3 0.500 0.500 0.500
Au1 0.000 0.000 0.000
Au2 0.000 0.500 0.636
# theoretical density: 10026 kg/m3
# DFT formation energy: -614 meV/atom
# crystal system: tetragonal